(1)
Material: PmDyPb3
Method: DFT, PBE
State: optimized geometry

Cell: 4.901 6.477 9.970 Å, 90.00 104.18 90.00°
Space group P2_1/m (No. 11)
Asymmetric unit:
1 Pm 0.089 0.250 0.177
2 Dy 0.300 0.250 0.601
3 Pb 0.096 0.750 0.191
4 Pb 0.302 0.750 0.604
5 Pb 0.500 0.000 0.000

=====

(2)
Material: Pm6Dy8Pb
Method: DFT, PBE
State: optimized geometry

Cell: 9.4020 9.4020 6.4827 Å, 90.00 90.00 120.00°
Space group P-3 (No. 147)
Asymmetric unit:
1 Pm 0.0906 0.6417 0.1777
2 Dy 0.0370 0.7726 0.6826
3 Dy 0.3333 0.6667 0.6530
4 Pb 0.0000 0.0000 0.0000

=====

(3)
Material: Pm3Dy2Pb4
Method: DFT, PBE
State: optimized geometry

Cell: 11.608 4.912 10.107 Å, 90.00 95.10 90.00°
Space group C2/m (No. 12)
Asymmetric unit:
1 Pm 0.000 0.000 0.000
2 Pm 0.130 0.500 0.418
3 Dy 0.181 0.500 0.802
4 Pb 0.082 0.000 0.638
5 Pb 0.153 0.500 0.110

## Properties
Energy relative to the lowest polymorph listed for this composition ... 0.0461 eV/atom

=====

(4)
Material: PmDy3Pb2
Method: DFT, PBE
State: optimized geometry

Cell: 4.575 4.575 8.660 Å, 90.00 90.00 90.00°
Space group P-4m2 (No. 115)
Asymmetric unit:
1 Pm 0.000 0.000 0.000
2 Dy 0.000 0.500 0.344
3 Dy 0.500 0.500 0.000
4 Pb 0.000 0.500 0.712

## Properties
Energy relative to the lowest polymorph listed for this composition ... 0.0000 eV/atom

=====

no.,formation energy from the elements (eV per atom),total DFT energy (no corrections) (eV/atom)
1,-0.37,-4.46
2,0.07,-4.54
3,-0.42,-4.68
4,-0.41,-4.74